Entry 1:
First-principles (GGA-PBE) data for Rb2CuBr2Cl2 after structural relaxation, as listed in Alexandria.

Properties
The theoretical density comes out at 3.41 g/cm3. The formation energy (no corrections) is -1.24 eV per atom.

Structure (extended XYZ):
```
14
Lattice="8.310 -3.692 0.000 8.310 3.692 0.000 0.000 0.000 7.380" Properties=species:S:1:pos:R:3 pbc="T T T"
Rb 2.207 0.000 0.000
Rb 6.103 0.000 3.690
Rb 10.517 0.000 3.690
Rb 14.413 0.000 0.000
Cu 0.000 0.000 3.690
Cu 8.310 0.000 0.000
Br 2.554 0.000 3.690
Br 5.756 0.000 0.000
Br 10.864 0.000 0.000
Br 14.066 0.000 3.690
Cl 8.310 2.094 5.287
Cl 8.310 1.599 1.598
Cl 8.310 -1.599 5.782
Cl 8.310 -2.094 2.092
```


Entry 2:
First-principles (GGA-PBE) data for Rb2CuBrCl6 after structural relaxation, as listed in Alexandria.

Properties
The theoretical density comes out at 3.00 g/cm3. The formation energy (no corrections) is -0.93 eV per atom.

Structure (extended XYZ):
```
10
Lattice="-3.611 3.611 5.595 3.611 -3.611 5.595 3.611 3.611 -5.595" Properties=species:S:1:pos:R:3 pbc="T T T"
Rb 3.611 0.000 2.797
Rb 0.000 3.611 2.797
Cu 0.000 0.000 0.000
Br 0.000 0.000 5.595
Cl 0.000 0.000 2.201
Cl 1.828 1.828 0.000
Cl 1.783 -1.783 5.595
Cl -1.783 1.783 5.595
Cl 1.783 1.783 5.595
Cl 0.000 0.000 8.988
```